# MgReBr (PBE-GGA, optimized geometry)
# Calculated total energy (eV for the cell shown): -32.7
# Raw formation energy (meV per atom): -208
data_MgReBr
_chemical_formula_sum 'Mg2 Re2 Br2'
_symmetry_space_group_name_H-M 'P 4/n m m'
_symmetry_Int_Tables_number 129
_cell_length_a 3.209
_cell_length_b 3.209
_cell_length_c 12.307
_cell_angle_alpha 90.00
_cell_angle_beta 90.00
_cell_angle_gamma 90.00
loop_
_symmetry_equiv_pos_as_xyz
'x,y,z'
'-x,-y,-z'
'-y+1/2,x,z'
'y+1/2,-x,-z'
'-x+1/2,-y+1/2,z'
'x+1/2,y+1/2,-z'
'y,-x+1/2,z'
'-y,x+1/2,-z'
'x+1/2,-y,-z'
'-x+1/2,y,z'
'-y,-x,-z'
'y,x,z'
'-x,y+1/2,-z'
'x,-y+1/2,z'
'y+1/2,x+1/2,-z'
'-y+1/2,-x+1/2,z'
loop_
_atom_site_label
_atom_site_type_symbol
_atom_site_fract_x
_atom_site_fract_y
_atom_site_fract_z
Mg1 Mg 0.250 0.250 0.217
Re1 Re 0.250 0.250 0.949
Br1 Br 0.250 0.250 0.654

# Ce2Nd2Rh15 (PBE-GGA, optimized geometry)
# Calculated total energy (eV for the cell shown): -416.5
# Calculated formation energy (eV/atom): -0.377
data_Ce2Nd2Rh15
_chemical_formula_sum 'Ce6 Nd6 Rh45'
_symmetry_space_group_name_H-M 'R -3 m'
_symmetry_Int_Tables_number 166
_symmetry_space_group_name_Hall '-R 3 2"'
_cell_length_a 9.1770
_cell_length_b 9.1770
_cell_length_c 13.5540
_cell_angle_alpha 90.00
_cell_angle_beta 90.00
_cell_angle_gamma 120.00
loop_
_atom_site_label
_atom_site_type_symbol
_atom_site_fract_x
_atom_site_fract_y
_atom_site_fract_z
Ce1 Ce 0.0000 0.0000 0.1065
Nd1 Nd 0.0000 0.0000 0.3603
Rh1 Rh 0.0000 0.3107 0.0000
Rh2 Rh 0.0000 0.5000 0.5000
Rh3 Rh 0.0043 0.5021 0.1567

# Ac7Pd4Ru (PBE-GGA, optimized geometry)
# Calculated total energy (eV for the cell shown): -131.2
# Calculated formation energy (eV/atom): -0.568
data_Ac7Pd4Ru
_chemical_formula_sum 'Ac14 Pd8 Ru2'
_symmetry_space_group_name_H-M 'C 1 m 1'
_symmetry_Int_Tables_number 8
_cell_length_a 14.405
_cell_length_b 4.325
_cell_length_c 13.216
_cell_angle_alpha 90.00
_cell_angle_beta 105.58
_cell_angle_gamma 90.00
loop_
_symmetry_equiv_pos_as_xyz
'x,y,z'
'x,-y,z'
'x+1/2,y+1/2,z'
'x+1/2,-y+1/2,z'
loop_
_atom_site_label
_atom_site_type_symbol
_atom_site_fract_x
_atom_site_fract_y
_atom_site_fract_z
Ac1 Ac 0.000 0.000 0.000
Ac2 Ac 0.024 0.500 0.273
Ac3 Ac 0.097 0.500 0.583
Ac4 Ac 0.217 0.000 0.853
Ac5 Ac 0.251 0.500 0.140
Ac6 Ac 0.287 0.000 0.412
Ac7 Ac 0.407 0.500 0.685
Pd1 Pd 0.058 0.500 0.815
Pd2 Pd 0.252 0.000 0.634
Pd3 Pd 0.370 0.000 0.061
Pd4 Pd 0.450 0.500 0.454
Ru1 Ru 0.144 0.000 0.208

# YHoAgRh (PBE-GGA, optimized geometry)
# Calculated total energy (eV for the cell shown): -23.6
# Calculated formation energy (eV/atom): -0.598
data_YHoAgRh
_chemical_formula_sum 'Y1 Ho1 Ag1 Rh1'
_symmetry_space_group_name_H-M 'P 4 m m'
_symmetry_Int_Tables_number 99
_cell_length_a 3.513
_cell_length_b 3.513
_cell_length_c 7.139
_cell_angle_alpha 90.00
_cell_angle_beta 90.00
_cell_angle_gamma 90.00
loop_
_symmetry_equiv_pos_as_xyz
'x,y,z'
'-y,x,z'
'-x,-y,z'
'y,-x,z'
'-x,y,z'
'y,x,z'
'x,-y,z'
'-y,-x,z'
loop_
_atom_site_label
_atom_site_type_symbol
_atom_site_fract_x
_atom_site_fract_y
_atom_site_fract_z
Y1 Y 0.000 0.000 0.000
Ho1 Ho 0.000 0.000 0.540
Ag1 Ag 0.500 0.500 0.273
Rh1 Rh 0.500 0.500 0.764

Number 1: size of the total moment 0.00 μB/atom, DOS at the Fermi energy 1.7 states/eV/f.u.. Number 2: size of the total moment 0.00 μB/atom, DOS at the Fermi energy 24.8 states/eV/f.u.. Number 3: size of the total moment 0.00 μB/atom, DOS at the Fermi energy 7.2 states/eV/f.u.. Number 4: size of the total moment 0.00 μB/atom, DOS at the Fermi energy 4.6 states/eV/f.u..